Entry 1:
Below is BaScAsO5 after structural relaxation, with properties calculated at the PBE level.

a = 6.073 Å, b = 6.073 Å, c = 7.512 Å
α = 103.32°, β = 103.32°, γ = 106.51°
Fractional positions:
1 Ba 0.171 0.829 0.750
2 Ba 0.829 0.171 0.250
3 Sc 0.500 0.500 0.000
4 Sc 0.500 0.500 0.500
5 As 0.187 0.813 0.250
6 As 0.813 0.187 0.750
7 O 0.097 0.260 0.912
8 O 0.194 0.616 0.383
9 O 0.260 0.097 0.412
10 O 0.384 0.806 0.117
11 O 0.434 0.566 0.750
12 O 0.566 0.434 0.250
13 O 0.616 0.194 0.883
14 O 0.740 0.903 0.588
15 O 0.806 0.384 0.617
16 O 0.903 0.740 0.088

Properties
The crystal system is monoclinic. As for the uncorrected formation energy: -2.4747 eV per atom. The space group is C2/c.



Entry 2:
Below is MgPd8Pt2 after structural relaxation, with properties calculated at the PBE level.

a = 6.637 Å, b = 6.637 Å, c = 4.678 Å
α = 101.73°, β = 101.73°, γ = 84.81°
Fractional positions:
1 Mg 0.000 0.000 0.000
2 Pd 0.162 0.667 0.206
3 Pd 0.273 0.273 0.129
4 Pd 0.333 0.838 0.794
5 Pd 0.423 0.423 0.710
6 Pd 0.577 0.577 0.290
7 Pd 0.667 0.162 0.206
8 Pd 0.727 0.727 0.871
9 Pd 0.838 0.333 0.794
10 Pt 0.142 0.142 0.551
11 Pt 0.858 0.858 0.449

Properties
The energy relative to the elements comes out at 0.1899 eV per atom. The crystal system is monoclinic. The space group is C2/m. The value obtained for the distance to the lowest polymorph of the same formula is 414.5 kJ/mol of formula units.



Entry 3:
Below is LiTlS2 after structural relaxation, with properties calculated at the PBE level.

a = 5.105 Å, b = 5.105 Å, c = 7.648 Å
α = 91.24°, β = 91.24°, γ = 87.52°
Fractional positions:
1 Li 0.000 0.000 0.250
2 Li 0.000 0.000 0.750
3 Tl 0.487 0.513 0.750
4 Tl 0.513 0.487 0.250
5 S 0.051 0.297 0.002
6 S 0.297 0.051 0.502
7 S 0.703 0.949 0.498
8 S 0.949 0.703 0.998

Properties
The crystal system is monoclinic. As for the uncorrected formation energy: -0.5510 eV per atom. The space group is C2/c.



Entry 4:
Below is Cd2ReGeBi after structural relaxation, with properties calculated at the PBE level.

a = 5.325 Å, b = 5.325 Å, c = 4.734 Å
α = 90.00°, β = 90.00°, γ = 90.00°
Fractional positions:
1 Cd 0.000 0.500 0.000
2 Cd 0.500 0.000 0.000
3 Re 0.000 0.000 0.000
4 Ge 0.000 0.000 0.500
5 Bi 0.500 0.500 0.500

Properties
The energy relative to the elements comes out at 0.7339 eV per atom. The crystal system is tetragonal. The space group is P4/mmm.